[1]
HoZn2SiPd4, optimized geometry, DFT PBE; formation energy (no corrections) = -638 meV/atom
1.0
2.254 1.301 7.286
-2.254 1.301 7.286
0.000 -2.603 7.286
Ho Zn Si Pd
1 2 1 4
Direct
0.000 0.000 0.000
0.256 0.256 0.256
0.744 0.744 0.744
0.500 0.500 0.500
0.135 0.135 0.135
0.392 0.392 0.392
0.608 0.608 0.608
0.865 0.865 0.865

---

[2]
TbNd2Sc7, optimized geometry, DFT PBE; electronic total energy = -5.687 eV/atom
1.0
3.060 -13.738 0.000
3.060 13.738 0.000
0.000 0.000 3.320
Tb Nd Sc
1 2 7
Direct
0.000 0.000 0.000
0.291 0.709 0.500
0.709 0.291 0.500
0.148 0.343 0.500
0.180 0.820 0.000
0.343 0.148 0.500
0.500 0.500 0.500
0.657 0.852 0.500
0.820 0.180 0.000
0.852 0.657 0.500

---

[3]
Th3Cd2Ag6, optimized geometry, DFT PBE; electronic total energy = -3.740 eV/atom
1.0
-2.082 2.082 15.136
2.082 -2.082 15.136
2.082 2.082 -15.136
Th Cd Ag
3 2 6
Direct
0.000 0.000 0.000
0.211 0.211 0.000
0.789 0.789 0.000
0.450 0.450 0.000
0.550 0.550 0.000
0.113 0.613 0.500
0.322 0.322 0.000
0.387 0.887 0.500
0.613 0.113 0.500
0.678 0.678 0.000
0.887 0.387 0.500

---

[4]
CaOs3Br, optimized geometry, DFT PBE; formation energy (no corrections) = 1817 meV/atom
1.0
4.630 0.000 0.000
0.000 4.630 0.000
0.000 0.000 4.630
Ca Os Br
1 3 1
Direct
0.000 0.000 0.000
0.000 0.500 0.500
0.500 0.000 0.500
0.500 0.500 0.000
0.500 0.500 0.500

---

[5]
CeInAg, optimized geometry, DFT PBE; electronic total energy = -4.037 eV/atom
1.0
0.000 3.450 3.450
3.450 0.000 3.450
3.450 3.450 0.000
Ce In Ag
1 1 1
Direct
0.000 0.000 0.000
0.500 0.500 0.500
0.750 0.750 0.750

---

[6]
AlSiAgBi2, optimized geometry, DFT PBE; formation energy (no corrections) = 817 meV/atom
1.0
5.571 0.000 0.000
0.000 5.571 0.000
0.000 0.000 4.766
Al Si Ag Bi
1 1 1 2
Direct
0.000 0.000 0.000
0.500 0.500 0.000
0.000 0.000 0.500
0.000 0.500 0.500
0.500 0.000 0.500

---

[7]
Mn2V7Ru3, optimized geometry, DFT PBE; electronic total energy = -9.064 eV/atom
1.0
2.049 -9.887 0.000
2.049 9.887 0.000
0.000 0.000 4.214
Mn V Ru
2 7 3
Direct
0.148 0.852 0.000
0.852 0.148 0.000
0.000 0.000 0.000
0.081 0.919 0.500
0.285 0.715 0.000
0.426 0.574 0.000
0.574 0.426 0.000
0.715 0.285 0.000
0.919 0.081 0.500
0.347 0.653 0.500
0.500 0.500 0.500
0.653 0.347 0.500

---

[8]
ReTeP2, optimized geometry, DFT PBE; formation energy (no corrections) = 348 meV/atom
1.0
4.205 0.000 0.000
0.000 4.178 0.000
-1.042 0.000 4.305
Re Te P
1 1 2
Direct
0.000 0.000 0.000
0.500 0.000 0.500
0.237 0.500 0.874
0.763 0.500 0.126